1.
A plane-wave DFT calculation with PBE was carried out for Ag2HgTeO6 after structural relaxation.

a = 5.7213 Å, b = 5.8657 Å, c = 6.3862 Å
α = 59.22°, β = 63.45°, γ = 57.33°
Element x y z (fractional)
O: 0.5751 0.2199 0.2039
O: 0.2883 0.9622 0.1556
O: 0.7077 0.1718 0.7667
Ag: 0.9884 0.0105 0.9962
O: 0.9670 0.5295 0.1880
Hg: 0.7293 0.7515 0.7682
O: 0.3517 0.7289 0.7989
O: 0.1770 0.4419 0.7231
Te: 0.3282 0.3311 0.0042
Ag: 0.5490 0.5143 0.4102

Calculated values
Its space group is P1 (1). The value obtained for the density of states at the Fermi level is 0.215 states/eV per atom. The calculation puts the uncorrected formation energy at -4.189 eV/f.u.

***

2.
A plane-wave DFT calculation with PBE was carried out for Ca3CuHg after structural relaxation.

a = 5.5199 Å, b = 5.5199 Å, c = 5.5199 Å
α = 90.00°, β = 90.00°, γ = 90.00°
Element x y z (fractional)
Cu: 0.0000 0.0000 0.0000
Hg: 0.5000 0.5000 0.5000
Ca: 0.0000 0.5000 0.0000
Ca: 0.0000 0.0000 0.5000
Ca: 0.5000 0.0000 0.0000

Calculated values
Its space group is Pm-3m (221). The offset from the most stable computed form comes out at 230 meV/atom. The value obtained for the density of states at the Fermi level is 0.821 states/eV per atom.

***

3.
A plane-wave DFT calculation with PBE was carried out for MgBeIn after structural relaxation.

a = 6.1110 Å, b = 6.1112 Å, c = 3.1316 Å
α = 75.15°, β = 75.15°, γ = 29.69°
Element x y z (fractional)
Mg: 0.6433 0.6434 0.3567
Be: 0.0003 0.0003 0.9997
In: 0.3564 0.3563 0.6436

Calculated values
Its space group is I4mm (107). The offset from the most stable computed form comes out at 143 meV/atom. The value obtained for the density of states at the Fermi level is 0.331 states/eV per atom.

***

4.
A plane-wave DFT calculation with PBE was carried out for Pr2DyErSe5 after structural relaxation.

a = 5.0853 Å, b = 5.0853 Å, c = 10.7282 Å
α = 90.00°, β = 90.00°, γ = 90.00°
Element x y z (fractional)
Er: 0.0000 0.0000 0.5000
Pr: 0.5000 0.5000 0.3004
Se: 0.0000 0.0000 0.7543
Se: 0.0000 0.0000 0.2457
Pr: 0.5000 0.5000 0.6996
Dy: 0.0000 0.0000 0.0000
Se: 0.0000 0.5000 0.5000
Se: 0.5000 0.0000 0.5000
Se: 0.5000 0.5000 0.0000

Calculated values
Its space group is P4/mmm (123). The value obtained for the density of states at the Fermi level is 0.736 states/eV per atom. The calculation puts the uncorrected formation energy at -11.775 eV/f.u.

***

5.
A plane-wave DFT calculation with PBE was carried out for PrGe3Pd10 after structural relaxation.

a = 8.8560 Å, b = 8.8560 Å, c = 8.8560 Å
α = 60.00°, β = 60.00°, γ = 60.00°
Element x y z (fractional)
Pd: 0.0000 0.6522 0.0000
Ge: 0.2643 0.7357 0.7357
Ge: 0.7357 0.2643 0.7357
Pd: 0.6522 0.0000 0.0000
Pd: 0.6159 0.6159 0.6159
Pd: 0.3841 0.3841 0.8478
Pd: 0.8478 0.3841 0.3841
Ge: 0.2643 0.2643 0.7357
Pr: 0.2500 0.2500 0.2500
Pd: 0.6522 0.0000 0.3478
Pd: 0.3841 0.3841 0.3841
Pd: 0.0000 0.3478 0.6522
Pd: 0.0000 0.3478 0.0000
Pd: 0.6522 0.3478 0.0000
Ge: 0.7357 0.7357 0.2643
Pd: 0.3478 0.6522 0.0000
Pd: 0.3478 0.0000 0.6522
Pd: 0.6159 0.1522 0.6159
Pd: 0.0000 0.6522 0.3478
Pd: 0.3841 0.8478 0.3841
Ge: 0.7357 0.2643 0.2643
Pd: 0.3478 0.0000 0.0000
Pd: 0.1522 0.6159 0.6159
Pd: 0.0000 0.0000 0.3478
Ge: 0.2643 0.7357 0.2643
Pd: 0.6159 0.6159 0.1522
Pr: 0.7500 0.7500 0.7500
Pd: 0.0000 0.0000 0.6522

Calculated values
Its space group is Fm-3m (225). The raw total energy is -0.409 Ry per atom. The value obtained for the density of states at the Fermi level is 0.597 states/eV per atom.

***

6.
A plane-wave DFT calculation with PBE was carried out for HfBe3I after structural relaxation.

a = 5.0157 Å, b = 5.0157 Å, c = 5.0157 Å
α = 90.00°, β = 90.00°, γ = 90.00°
Element x y z (fractional)
I: 0.5000 0.5000 0.5000
Be: 0.5000 0.0000 0.0000
Be: 0.0000 0.0000 0.5000
Hf: 0.0000 0.0000 0.0000
Be: 0.0000 0.5000 0.0000

Calculated values
Its space group is Pm-3m (221). The offset from the most stable computed form comes out at 0 meV/atom. The value obtained for the density of states at the Fermi level is 0.678 states/eV per atom. The calculation puts the uncorrected formation energy at 8.386 eV/f.u.

***

7.
A plane-wave DFT calculation with PBE was carried out for TmPuTh2 after structural relaxation.

a = 3.5233 Å, b = 3.5233 Å, c = 11.5054 Å
α = 81.19°, β = 81.19°, γ = 60.00°
Element x y z (fractional)
Th: 0.0814 0.0814 0.7559
Th: 0.2513 0.2513 0.2462
Tm: 0.4988 0.4988 0.5036
Pu: 0.6686 0.6686 0.9943

Calculated values
Its space group is R3m (160). The offset from the most stable computed form comes out at 23 meV/atom. The value obtained for the density of states at the Fermi level is 2.737 states/eV per atom.

***

8.
A plane-wave DFT calculation with PBE was carried out for Tb8PrDy4 after structural relaxation.

a = 7.3191 Å, b = 7.3193 Å, c = 10.0257 Å
α = 90.00°, β = 111.41°, γ = 120.00°
Element x y z (fractional)
Tb: 0.4986 0.2493 0.3032
Dy: 0.0000 0.5000 0.0000
Tb: 0.4362 0.2181 0.6542
Dy: 0.0000 0.0000 0.0000
Tb: 0.5638 0.7819 0.3458
Pr: 0.0000 0.5000 0.5000
Tb: 0.0539 0.2493 0.3032
Tb: 0.9461 0.7507 0.6968
Tb: 0.0539 0.8046 0.3032
Dy: 0.5000 0.0000 0.0000
Tb: 0.9461 0.1954 0.6968
Tb: 0.5014 0.7507 0.6968
Dy: 0.5000 0.5000 0.0000

Calculated values
Its space group is R-3m (166). The raw total energy is -0.327 Ry per atom. The value obtained for the density of states at the Fermi level is 1.069 states/eV per atom.

***

9.
A plane-wave DFT calculation with PBE was carried out for Ba7As2N2 after structural relaxation.

a = 7.5516 Å, b = 8.4576 Å, c = 8.4576 Å
α = 110.16°, β = 96.20°, γ = 96.20°
Element x y z (fractional)
N: 0.1044 0.7453 0.7453
Ba: 0.2911 0.9273 0.6085
Ba: 0.0000 0.0000 0.0000
As: 0.5000 0.6834 0.3166
Ba: 0.2140 0.4153 0.4153
N: 0.8956 0.2547 0.2547
Ba: 0.7089 0.0727 0.3915
Ba: 0.7089 0.3915 0.0727
Ba: 0.2911 0.6085 0.9273
As: 0.5000 0.3166 0.6834
Ba: 0.7860 0.5847 0.5847

Calculated values
Its space group is C2/m (12). The value obtained for the density of states at the Fermi level is 0.300 states/eV per atom. The calculation puts the uncorrected formation energy at -6.240 eV/f.u.

***

10.
A plane-wave DFT calculation with PBE was carried out for SbTe2PtF after structural relaxation.

a = 5.1687 Å, b = 5.1687 Å, c = 4.4159 Å
α = 90.00°, β = 90.00°, γ = 90.00°
Element x y z (fractional)
Pt: 0.5000 0.5000 0.5000
F: 0.0000 0.0000 0.0000
Te: 0.0000 0.5000 0.0000
Te: 0.5000 0.0000 0.0000
Sb: 0.0000 0.0000 0.5000

Calculated values
Its space group is P4/mmm (123). The offset from the most stable computed form comes out at 167 meV/atom. The value obtained for the density of states at the Fermi level is 1.301 states/eV per atom. The calculation puts the uncorrected formation energy at 1.709 eV/f.u.

***

11.
A plane-wave DFT calculation with PBE was carried out for LaIn2S4 after structural relaxation.

a = 3.9717 Å, b = 6.7155 Å, c = 13.0121 Å
α = 90.00°, β = 90.00°, γ = 107.20°
Element x y z (fractional)
S: 0.2225 0.4450 0.8817
S: 0.2225 0.4450 0.6183
In: 0.1306 0.2612 0.0639
S: 0.0488 0.0976 0.2500
In: 0.8694 0.7388 0.9361
S: 0.9512 0.9024 0.7500
La: 0.3862 0.7725 0.2500
S: 0.7775 0.5550 0.1183
S: 0.5000 0.0000 0.0000
In: 0.1306 0.2612 0.4361
La: 0.6138 0.2275 0.7500
In: 0.8694 0.7388 0.5639
S: 0.5000 0.0000 0.5000
S: 0.7775 0.5550 0.3817

Calculated values
Its space group is Cmcm (63). The value obtained for the density of states at the Fermi level is 0.279 states/eV per atom. The calculation puts the uncorrected formation energy at -7.426 eV/f.u.

***

12.
A plane-wave DFT calculation with PBE was carried out for Ho2TePb after structural relaxation.

a = 6.2068 Å, b = 6.2063 Å, c = 12.4408 Å
α = 90.00°, β = 90.00°, γ = 90.00°
Element x y z (fractional)
Ho: 0.2499 0.0000 0.6273
Ho: 0.7501 0.5000 0.1273
Pb: 0.7500 0.0000 0.1250
Te: 0.2501 0.4999 0.1250
Ho: 0.2499 0.5000 0.8727
Ho: 0.7500 0.0001 0.8773
Ho: 0.7501 0.0000 0.3727
Pb: 0.2500 0.5000 0.6250
Ho: 0.2500 0.5001 0.3773
Pb: 0.2500 0.0000 0.8750
Ho: 0.7500 0.4999 0.6227
Ho: 0.2500 0.9999 0.1227
Pb: 0.7500 0.5000 0.3750
Te: 0.7499 0.5001 0.8750
Te: 0.2501 0.0001 0.3750
Te: 0.7499 0.9999 0.6250

Calculated values
Its space group is I4_1/amd (141). The offset from the most stable computed form comes out at 0 meV/atom. The value obtained for the density of states at the Fermi level is 0.199 states/eV per atom. The calculation puts the uncorrected formation energy at -3.719 eV/f.u.

***

13.
A plane-wave DFT calculation with PBE was carried out for Th7Ni2Hg2 after structural relaxation.

a = 6.9181 Å, b = 6.9343 Å, c = 6.9181 Å
α = 90.00°, β = 107.57°, γ = 90.00°
Element x y z (fractional)
Hg: 0.8300 0.5000 0.8300
Ni: 0.2683 0.0000 0.7317
Ni: 0.7317 0.0000 0.2683
Th: 0.4997 0.2620 0.0002
Th: 0.5003 0.7380 0.9998
Th: 0.0002 0.7380 0.4997
Hg: 0.1700 0.5000 0.1700
Th: 0.0000 0.0000 0.0000
Th: 0.5002 0.7598 0.4998
Th: 0.4998 0.2402 0.5002
Th: 0.9998 0.2620 0.5003

Calculated values
Its space group is Cmmm (65). The raw total energy is -0.429 Ry per atom. The value obtained for the density of states at the Fermi level is 1.334 states/eV per atom.

***

14.
A plane-wave DFT calculation with PBE was carried out for Ac6SbAs3P2 after structural relaxation.

a = 4.5570 Å, b = 9.1372 Å, c = 10.1934 Å
α = 102.87°, β = 102.92°, γ = 90.00°
Element x y z (fractional)
Ac: 0.3287 0.9096 0.6574
As: 0.8345 0.1687 0.6690
As: 0.5000 0.5000 0.0000
Ac: 0.6713 0.0904 0.3426
Ac: 0.3311 0.4200 0.6621
As: 0.1655 0.8313 0.3310
Ac: 0.6689 0.5800 0.3379
P: 0.8320 0.6643 0.6641
Sb: 0.5000 0.0000 0.0000
P: 0.1680 0.3357 0.3359
Ac: 0.9977 0.7380 0.9954
Ac: 0.0023 0.2620 0.0046

Calculated values
Its space group is C2/m (12). The value obtained for the density of states at the Fermi level is 0.078 states/eV per atom. The calculation puts the uncorrected formation energy at -16.948 eV/f.u.

***

15.
A plane-wave DFT calculation with PBE was carried out for RbTlRh after structural relaxation.

a = 4.9197 Å, b = 4.9197 Å, c = 7.8842 Å
α = 90.00°, β = 90.00°, γ = 90.00°
Element x y z (fractional)
Tl: 0.5000 0.0000 0.6481
Rb: 0.5000 0.0000 0.1705
Rh: 0.0000 0.0000 0.5000
Rb: 0.0000 0.5000 0.8295
Rh: 0.5000 0.5000 0.5000
Tl: 0.0000 0.5000 0.3519

Calculated values
Its space group is P4/nmm (129). The raw total energy is -0.254 Ry per atom. The value obtained for the density of states at the Fermi level is 0.549 states/eV per atom.

***

16.
A plane-wave DFT calculation with PBE was carried out for RbMnGe3 after structural relaxation.

a = 4.7696 Å, b = 4.7696 Å, c = 4.7696 Å
α = 90.00°, β = 90.00°, γ = 90.00°
Element x y z (fractional)
Rb: 0.5000 0.5000 0.5000
Ge: 0.0000 0.0000 0.5000
Mn: 0.0000 0.0000 0.0000
Ge: 0.0000 0.5000 0.0000
Ge: 0.5000 0.0000 0.0000

Calculated values
Its space group is Pm-3m (221). The raw total energy is -0.340 Ry per atom. The value obtained for the density of states at the Fermi level is 0.972 states/eV per atom.

***

17.
A plane-wave DFT calculation with PBE was carried out for CrAgTe after structural relaxation.

a = 5.2754 Å, b = 5.2756 Å, c = 3.6935 Å
α = 69.51°, β = 69.51°, γ = 40.98°
Element x y z (fractional)
Te: 0.6853 0.6853 0.3147
Cr: 0.3195 0.3195 0.6805
Ag: 0.9952 0.9952 0.0048

Calculated values
Its space group is I4mm (107). The offset from the most stable computed form comes out at 159 meV/atom. The value obtained for the density of states at the Fermi level is 0.685 states/eV per atom. The calculation puts the uncorrected formation energy at 0.912 eV/f.u.

***

18.
A plane-wave DFT calculation with PBE was carried out for Th2Cd3In2 after structural relaxation.

a = 3.2720 Å, b = 4.5579 Å, c = 12.6444 Å
α = 100.38°, β = 90.00°, γ = 90.00°
Element x y z (fractional)
Th: 0.0000 0.8580 0.7161
Cd: 0.5000 0.5632 0.1264
Th: 0.0000 0.1420 0.2839
Cd: 0.0000 0.0000 0.0000
In: 0.5000 0.2854 0.5708
Cd: 0.5000 0.4368 0.8736
In: 0.5000 0.7146 0.4292

Calculated values
Its space group is Cmmm (65). The offset from the most stable computed form comes out at 72 meV/atom. The value obtained for the density of states at the Fermi level is 0.632 states/eV per atom.

***

19.
A plane-wave DFT calculation with PBE was carried out for YHo6Sc2 after structural relaxation.

a = 5.4872 Å, b = 11.6251 Å, c = 11.6251 Å
α = 48.08°, β = 103.61°, γ = 103.61°
Element x y z (fractional)
Ho: 0.6726 0.3300 0.4965
Y: 0.2500 0.2500 0.7500
Sc: 0.0080 0.6667 0.8332
Sc: 0.4920 0.1668 0.3333
Ho: 0.9196 0.9199 0.4193
Ho: 0.6544 0.9968 0.8297
Ho: 0.5804 0.5807 0.0801
Sc: 0.5080 0.8332 0.6667
Sc: 0.9920 0.3333 0.1668
Ho: 0.3456 0.0032 0.1703
Y: 0.7500 0.7500 0.2500
Ho: 0.1544 0.8297 0.9968
Ho: 0.0804 0.0801 0.5807
Ho: 0.8456 0.1703 0.0032
Ho: 0.3274 0.6700 0.5035
Ho: 0.4196 0.4193 0.9199
Ho: 0.8274 0.5035 0.6700
Ho: 0.1726 0.4965 0.3300

Calculated values
Its space group is Ibam (72). The offset from the most stable computed form comes out at 0 meV/atom. The value obtained for the density of states at the Fermi level is 1.867 states/eV per atom.

***

20.
A plane-wave DFT calculation with PBE was carried out for KNb2BP after structural relaxation.

a = 4.6549 Å, b = 4.8914 Å, c = 4.6549 Å
α = 90.00°, β = 90.00°, γ = 90.00°
Element x y z (fractional)
Nb: 0.5000 0.0000 0.0000
B: 0.5000 0.5000 0.5000
K: 0.0000 0.0000 0.0000
P: 0.0000 0.5000 0.0000
Nb: 0.0000 0.0000 0.5000

Calculated values
Its space group is P4/mmm (123). The raw total energy is -0.246 Ry per atom. The value obtained for the density of states at the Fermi level is 1.020 states/eV per atom.

***

21.
A plane-wave DFT calculation with PBE was carried out for ScPb3S after structural relaxation.

a = 5.4480 Å, b = 5.4480 Å, c = 5.4480 Å
α = 90.00°, β = 90.00°, γ = 90.00°
Element x y z (fractional)
Sc: 0.5000 0.5000 0.5000
S: 0.0000 0.0000 0.0000
Pb: 0.0000 0.0000 0.5000
Pb: 0.5000 0.0000 0.0000
Pb: 0.0000 0.5000 0.0000

Calculated values
Its space group is Pm-3m (221). The offset from the most stable computed form comes out at 0 meV/atom. The value obtained for the density of states at the Fermi level is 1.320 states/eV per atom. The calculation puts the uncorrected formation energy at 1.287 eV/f.u.

***

22.
A plane-wave DFT calculation with PBE was carried out for Ba5Au after structural relaxation.

a = 7.4938 Å, b = 7.4938 Å, c = 7.4557 Å
α = 90.00°, β = 90.00°, γ = 120.00°
Element x y z (fractional)
Ba: 0.5000 0.0000 0.5000
Ba: 0.0000 0.5000 0.5000
Ba: 0.5000 0.5000 0.5000
Ba: 0.6667 0.3333 0.0000
Au: 0.0000 0.0000 0.0000
Ba: 0.3333 0.6667 0.0000

Calculated values
Its space group is P6/mmm (191). The offset from the most stable computed form comes out at 651 meV/atom. The value obtained for the density of states at the Fermi level is 1.717 states/eV per atom.

***

23.
A plane-wave DFT calculation with PBE was carried out for Y2PCl after structural relaxation.

a = 6.2093 Å, b = 6.2093 Å, c = 7.6384 Å
α = 66.02°, β = 66.02°, γ = 90.00°
Element x y z (fractional)
Y: 0.8750 0.8591 0.7500
Y: 0.1409 0.6250 0.2500
P: 0.2500 0.7500 0.5000
P: 0.5000 0.5000 0.0000
Y: 0.3750 0.3909 0.7500
Y: 0.6091 0.1250 0.2500
Cl: 0.7500 0.2500 0.5000
Cl: 0.0000 0.0000 0.0000

Calculated values
Its space group is I-42d (122). The value obtained for the density of states at the Fermi level is 0.711 states/eV per atom. The calculation puts the uncorrected formation energy at -4.289 eV/f.u.